(1)
An optimized crystal structure of RbSn5Cl11, computed with PBE-GGA.

a b c (Å): 9.2349 8.7978 8.7978
angles (deg): 114.64 99.25 99.25
Fractional positions:
Cl 0.6696 0.4029 0.4029
Cl 0.0451 0.8609 0.6028
Cl 0.9549 0.1391 0.3972
Cl 0.3304 0.5971 0.5971
Cl 0.3223 0.3003 0.8594
Cl 0.0451 0.6028 0.8609
Cl 0.6777 0.6997 0.1406
Cl 0.6777 0.1406 0.6997
Cl 0.9549 0.3972 0.1391
Cl 0.5000 0.0000 0.0000
Cl 0.3223 0.8594 0.3003
Sn 0.3448 0.9433 0.6410
Sn 0.0000 0.5000 0.5000
Sn 0.6552 0.0567 0.3590
Sn 0.6552 0.3590 0.0567
Sn 0.3448 0.6410 0.9433
Rb 0.0000 0.0000 0.0000

Calculated values
uncorrected formation energy = -1.079 eV per atom
crystal system = monoclinic
DOS at the Fermi energy = 0.000 states/eV/cell

(2)
An optimized crystal structure of TbTmTh2Sc5, computed with PBE-GGA.

a b c (Å): 7.2389 8.4741 8.4741
angles (deg): 90.00 90.00 90.00
Fractional positions:
Sc 0.5000 0.5000 0.5000
Sc 0.7728 0.2061 0.7061
Sc 0.2272 0.7939 0.2939
Sc 0.7728 0.7939 0.2939
Sc 0.2272 0.2061 0.7061
Sc 0.2272 0.2939 0.2061
Sc 0.7728 0.7061 0.7939
Sc 0.7728 0.2939 0.2061
Sc 0.2272 0.7061 0.7939
Sc 0.5000 0.0000 0.0000
Tb 0.0000 0.0000 0.0000
Tb 0.0000 0.5000 0.5000
Th 0.5000 0.6247 0.1247
Th 0.5000 0.1247 0.3753
Th 0.5000 0.8753 0.6247
Th 0.5000 0.3753 0.8753
Tm 0.0000 0.0000 0.5000
Tm 0.0000 0.5000 0.0000

Calculated values
crystal system = tetragonal
DOS at the Fermi energy = 25.698 states/eV/cell
DFT formation energy = 3.01 eV per formula unit

(3)
An optimized crystal structure of NaCaAs3, computed with PBE-GGA.

a b c (Å): 6.1051 6.1051 9.8237
angles (deg): 71.90 71.90 60.00
Fractional positions:
As 0.1098 0.8493 0.7197
As 0.3493 0.6098 0.2197
As 0.8493 0.3213 0.7197
As 0.6098 0.8213 0.2197
As 0.8213 0.3493 0.2197
As 0.3213 0.1098 0.7197
Ca 0.4987 0.4987 0.5040
Ca 0.9987 0.9987 0.0040
Na 0.6925 0.6925 0.9225
Na 0.1925 0.1925 0.4225

Calculated values
crystal system = trigonal
DFT formation energy = -2.16 eV per formula unit

(4)
An optimized crystal structure of Nb2NiMoH, computed with PBE-GGA.

a b c (Å): 4.8002 4.5126 4.8002
angles (deg): 90.00 90.00 90.00
Fractional positions:
Nb 0.0000 0.0000 0.5000
Nb 0.5000 0.0000 0.0000
H 0.5000 0.5000 0.5000
Ni 0.0000 0.5000 0.0000
Mo 0.0000 0.0000 0.0000

Calculated values
crystal system = tetragonal
DOS at the Fermi energy = 4.518 states/eV/cell
electronic total energy = -6.219 eV/atom

(5)
An optimized crystal structure of Li7B8C8, computed with PBE-GGA.

a b c (Å): 2.7392 4.7410 14.2295
angles (deg): 90.37 90.00 90.00
Fractional positions:
C 0.0000 0.6643 0.8764
C 0.0000 0.3357 0.1236
C 0.5000 0.8276 0.6309
C 0.0000 0.6716 0.3732
C 0.5000 0.8357 0.1237
C 0.5000 0.1643 0.8763
C 0.0000 0.3284 0.6268
C 0.5000 0.1724 0.3691
B 0.0000 0.6686 0.1242
B 0.0000 0.3314 0.8758
B 0.5000 0.1580 0.6243
B 0.0000 0.6629 0.6283
B 0.0000 0.3371 0.3717
B 0.5000 0.8420 0.3757
B 0.5000 0.1687 0.1243
B 0.5000 0.8313 0.8757
Li 0.5000 0.5040 0.2515
Li 0.5000 0.5000 0.5000
Li 0.0000 0.0000 0.0000
Li 0.5000 0.4960 0.7485
Li 0.0000 0.9972 0.7482
Li 0.5000 0.5000 0.0000
Li 0.0000 0.0028 0.2518

Calculated values
crystal system = monoclinic
DOS at the Fermi energy = 5.886 states/eV/cell
DFT formation energy = -6.96 eV per formula unit

(6)
An optimized crystal structure of GdUCo2, computed with PBE-GGA.

a b c (Å): 4.1838 4.1838 5.6319
angles (deg): 68.20 68.20 60.00
Fractional positions:
Gd 0.5000 0.5000 0.5000
U 0.0000 0.0000 0.0000
Co 0.2945 0.2945 0.1165
Co 0.7055 0.7055 0.8835

Calculated values
crystal system = trigonal
DOS at the Fermi energy = 5.503 states/eV/cell
DFT formation energy = -0.71 eV per formula unit

(7)
An optimized crystal structure of Ca6Zn23, computed with PBE-GGA.

a b c (Å): 9.1049 9.1049 9.1049
angles (deg): 60.00 60.00 60.00
Fractional positions:
Zn 0.5000 0.0000 0.0000
Zn 0.5195 0.8268 0.8268
Zn 0.8268 0.5195 0.8268
Zn 0.0000 0.0000 0.5000
Zn 0.1732 0.1732 0.1732
Zn 0.8268 0.8268 0.8268
Zn 0.6233 0.6233 0.1300
Zn 0.0000 0.5000 0.5000
Zn 0.1732 0.4805 0.1732
Zn 0.5000 0.5000 0.0000
Zn 0.4805 0.1732 0.1732
Zn 0.5000 0.0000 0.5000
Zn 0.3767 0.3767 0.3767
Zn 0.3767 0.3767 0.8700
Zn 0.8700 0.3767 0.3767
Zn 0.1732 0.1732 0.4805
Zn 0.5000 0.5000 0.5000
Zn 0.1300 0.6233 0.6233
Zn 0.6233 0.1300 0.6233
Zn 0.3767 0.8700 0.3767
Zn 0.8268 0.8268 0.5195
Zn 0.6233 0.6233 0.6233
Zn 0.0000 0.5000 0.0000
Ca 0.2107 0.7893 0.2107
Ca 0.2107 0.7893 0.7893
Ca 0.7893 0.7893 0.2107
Ca 0.7893 0.2107 0.2107
Ca 0.7893 0.2107 0.7893
Ca 0.2107 0.2107 0.7893

Calculated values
crystal system = cubic
DOS at the Fermi energy = 10.988 states/eV/cell
DFT formation energy = -6.42 eV per formula unit

(8)
An optimized crystal structure of KLaInS3, computed with PBE-GGA.

a b c (Å): 4.6434 8.6729 9.7991
angles (deg): 103.10 90.00 90.00
Fractional positions:
S 0.7500 0.2192 0.5353
S 0.2500 0.5470 0.8547
S 0.7500 0.8844 0.1512
S 0.2500 0.1156 0.8488
S 0.2500 0.7808 0.4647
S 0.7500 0.4530 0.1453
K 0.7500 0.8103 0.7936
K 0.2500 0.1897 0.2064
La 0.2500 0.6609 0.1462
La 0.7500 0.3391 0.8538
In 0.2500 0.1139 0.5870
In 0.7500 0.8861 0.4130

Calculated values
uncorrected formation energy = -1.276 eV per atom
crystal system = monoclinic
DOS at the Fermi energy = 2.018 states/eV/cell

Computed size of the total moment, in the same sequence as the records: 0.00; 0.00; 0.00; 0.00; 0.00; 7.96; 0.66; 0.00 μB per cell.